{
  "formula": "UAgHg2",
  "functional": "PBE",
  "state": "relaxed",
  "final_energy_ev_per_cell": -14.14,
  "dos_at_fermi_per_ev_fu": 4.690,
  "delta_e_f_ev_per_atom": 0.151,
  "lattice_angstrom": [[-1.615, -2.491, -0.823], [0.449, -1.215, 2.795], [-7.665, 3.991, 2.965]],
  "species": ["Hg", "Hg", "Ag", "U"],
  "fractional_positions": [[0.000, 0.000, 0.771], [0.000, 0.000, 0.229], [0.500, 0.500, 0.000], [0.500, 0.500, 0.500]]
}

{
  "formula": "CrTcMo2H",
  "functional": "PBE",
  "state": "relaxed",
  "final_energy_ev_per_cell": -44.07,
  "dos_at_fermi_per_ev_fu": 4.836,
  "lattice_angstrom": [[4.028, 0.000, 0.000], [0.000, 4.028, 0.000], [0.000, 0.000, 3.737]],
  "species": ["Cr", "Mo", "Mo", "H", "Tc"],
  "fractional_positions": [[0.000, 0.000, 0.500], [0.000, 0.500, 0.000], [0.500, 0.000, 0.000], [0.000, 0.000, 0.000], [0.500, 0.500, 0.500]]
}

{
  "formula": "NaScTlV2",
  "functional": "PBE",
  "state": "relaxed",
  "final_energy_ev_per_cell": -19.88,
  "dos_at_fermi_per_ev_fu": 8.996,
  "delta_e_f_ev_per_atom": 1.676,
  "lattice_angstrom": [[-3.716, 1.227, -2.471], [1.969, -2.100, -4.003], [-2.049, -4.004, 1.093]],
  "species": ["Sc", "Tl", "V", "V", "Na"],
  "fractional_positions": [[0.000, 0.500, 0.000], [0.500, 0.500, 0.500], [0.500, 0.000, 0.000], [0.000, 0.000, 0.500], [0.000, 0.000, 0.000]]
}

{
  "formula": "LaCePu2Bi4",
  "functional": "PBE",
  "state": "relaxed",
  "final_energy_ev_per_cell": -59.88,
  "dos_at_fermi_per_ev_fu": 41.762,
  "delta_e_f_ev_per_atom": -0.604,
  "lattice_angstrom": [[-3.643, -2.757, 0.643], [4.834, -6.296, 0.392], [2.233, -1.185, 7.576]],
  "species": ["Pu", "Pu", "La", "Bi", "Bi", "Bi", "Bi", "Ce"],
  "fractional_positions": [[0.500, 0.000, 0.500], [0.000, 0.000, 0.000], [0.000, 0.500, 0.500], [0.500, 0.243, 0.757], [0.500, 0.757, 0.243], [0.000, 0.754, 0.752], [0.000, 0.246, 0.248], [0.500, 0.500, 0.000]]
}

{
  "formula": "HoScCuNi",
  "functional": "PBE",
  "state": "relaxed",
  "final_energy_ev_per_cell": -22.25,
  "dos_at_fermi_per_ev_fu": 2.242,
  "delta_e_f_ev_per_atom": -0.366,
  "lattice_angstrom": [[3.516, 0.000, 0.000], [0.000, 4.303, 0.000], [-1.758, 0.000, 4.992]],
  "species": ["Ni", "Sc", "Cu", "Ho"],
  "fractional_positions": [[0.430, 0.000, 0.860], [0.135, 0.000, 0.270], [0.577, 0.500, 0.153], [0.858, 0.500, 0.716]]
}

{
  "formula": "Pr2TmTe",
  "functional": "PBE",
  "state": "relaxed",
  "final_energy_ev_per_cell": -19.28,
  "raw_formation_energy_ev_per_fu": -2.11,
  "dos_at_fermi_per_ev_fu": 5.414,
  "lattice_angstrom": [[4.019, 0.000, 0.000], [2.010, 3.481, 0.000], [2.010, 1.160, 9.899]],
  "species": ["Pr", "Pr", "Tm", "Te"],
  "fractional_positions": [[0.074, 0.074, 0.779], [0.260, 0.260, 0.221], [0.500, 0.500, 0.501], [0.667, 0.667, 0.999]]
}

{
  "formula": "BaY2Cu",
  "functional": "PBE",
  "state": "relaxed",
  "final_energy_ev_per_cell": -17.33,
  "dos_at_fermi_per_ev_fu": 5.503,
  "delta_e_f_ev_per_atom": 0.405,
  "lattice_angstrom": [[0.000, 3.826, 3.826], [3.826, 0.000, 3.826], [3.826, 3.826, 0.000]],
  "species": ["Y", "Y", "Ba", "Cu"],
  "fractional_positions": [[0.250, 0.250, 0.250], [0.750, 0.750, 0.750], [0.500, 0.500, 0.500], [0.000, 0.000, 0.000]]
}

{
  "formula": "Ac2ZnS4",
  "functional": "PBE",
  "state": "relaxed",
  "final_energy_ev_per_cell": -76.26,
  "raw_formation_energy_ev_per_fu": -12.13,
  "lattice_angstrom": [[-3.858, 3.714, -4.085], [2.289, -3.425, -5.275], [-4.402, -6.657, 2.413]],
  "species": ["Zn", "Zn", "Ac", "Ac", "Ac", "Ac", "S", "S", "S", "S", "S", "S", "S", "S"],
  "fractional_positions": [[0.737, 0.250, 0.805], [0.263, 0.750, 0.195], [0.724, 0.750, 0.055], [0.276, 0.250, 0.945], [0.243, 0.250, 0.435], [0.757, 0.750, 0.565], [0.506, 0.492, 0.259], [0.067, 0.750, 0.381], [0.075, 0.750, 0.907], [0.494, 0.508, 0.741], [0.925, 0.250, 0.093], [0.506, 0.008, 0.259], [0.494, 0.992, 0.741], [0.933, 0.250, 0.619]]
}

{
  "formula": "SmHo5Ir6",
  "functional": "PBE",
  "state": "relaxed",
  "final_energy_ev_per_cell": -90.45,
  "dos_at_fermi_per_ev_fu": 4.376,
  "delta_e_f_ev_per_atom": -0.807,
  "lattice_angstrom": [[4.678, -0.028, 1.535], [0.036, 6.641, 0.012], [-0.028, -0.014, 7.764]],
  "species": ["Ho", "Ho", "Ho", "Ho", "Ho", "Ir", "Ir", "Ir", "Ir", "Ir", "Ir", "Sm"],
  "fractional_positions": [[0.333, 0.000, 0.334], [0.667, 0.500, 0.667], [0.000, 0.500, 0.000], [0.667, 0.000, 0.666], [0.333, 0.500, 0.333], [0.831, 0.748, 0.337], [0.500, 0.745, 0.000], [0.831, 0.252, 0.337], [0.500, 0.255, 0.000], [0.169, 0.252, 0.663], [0.169, 0.748, 0.663], [0.000, 0.000, 0.000]]
}

{
  "formula": "ZrAs2Os",
  "functional": "PBE",
  "state": "relaxed",
  "final_energy_ev_per_cell": -29.92,
  "dos_at_fermi_per_ev_fu": 1.955,
  "delta_e_f_ev_per_atom": -0.212,
  "lattice_angstrom": [[-2.487, -0.434, -3.265], [0.368, -1.722, -3.733], [-2.250, -5.387, 1.107]],
  "species": ["As", "As", "Zr", "Os"],
  "fractional_positions": [[0.492, 0.492, 0.540], [0.008, 0.008, 0.960], [0.250, 0.250, 0.250], [0.750, 0.750, 0.750]]
}

{
  "formula": "PrGdZnPd",
  "functional": "PBE",
  "state": "relaxed",
  "final_energy_ev_per_cell": -27.42,
  "dos_at_fermi_per_ev_fu": 3.223,
  "delta_e_f_ev_per_atom": -0.524,
  "lattice_angstrom": [[5.134, 0.000, 0.000], [2.567, 4.446, 0.000], [2.567, 1.482, 4.192]],
  "species": ["Pr", "Gd", "Zn", "Pd"],
  "fractional_positions": [[0.250, 0.250, 0.250], [0.750, 0.750, 0.750], [0.000, 0.000, 0.000], [0.500, 0.500, 0.500]]
}

{
  "formula": "YBr2",
  "functional": "PBE",
  "state": "relaxed",
  "final_energy_ev_per_cell": -28.99,
  "raw_formation_energy_ev_per_fu": -4.69,
  "dos_at_fermi_per_ev_fu": 0.996,
  "lattice_angstrom": [[-1.774, 1.774, 14.901], [1.774, -1.774, 14.901], [1.774, 1.774, -14.901]],
  "species": ["Y", "Y", "Br", "Br", "Br", "Br"],
  "fractional_positions": [[0.750, 0.250, 0.500], [0.000, 0.000, 0.000], [0.557, 0.557, 0.000], [0.307, 0.807, 0.500], [0.443, 0.443, 0.000], [0.193, 0.693, 0.500]]
}

{
  "formula": "KNbTl2Cl8",
  "functional": "PBE",
  "state": "relaxed",
  "final_energy_ev_per_cell": -45.97,
  "raw_formation_energy_ev_per_fu": -15.30,
  "lattice_angstrom": [[-0.220, 6.592, -1.849], [-3.529, -2.047, -5.795], [-8.281, -0.171, 3.490]],
  "species": ["Cl", "Cl", "Cl", "Cl", "Cl", "Cl", "Cl", "Cl", "K", "Tl", "Tl", "Nb"],
  "fractional_positions": [[0.636, 0.735, 0.514], [0.688, 0.870, 0.929], [0.364, 0.265, 0.486], [0.853, 0.197, 0.150], [0.038, 0.751, 0.214], [0.147, 0.803, 0.850], [0.962, 0.249, 0.786], [0.312, 0.130, 0.071], [0.000, 0.000, 0.500], [0.509, 0.440, 0.746], [0.491, 0.560, 0.254], [0.000, 0.000, 0.000]]
}